Entry 1:
This record from OQMD describes CuW2C after structural relaxation. The functional is PBE.

abc: 3.0637 3.0637 12.8854
angles: 90.00 90.00 120.00
With the nearest neighbours (Å) after each atom.
Space group P6_3/mmc (No. 194)
Symmetry-distinct sites (fractional):
Cu1 0.3333 0.6667 0.2500 [2 per cell]  6 W 2.72
W1 0.3333 0.6667 0.5893 [4 per cell]  3 C 2.11
C1 0.0000 0.0000 0.0000 [2 per cell]  6 W 2.11

Computed properties:
**Spin magnetization**: 0.01 μB/cell
**Energy**: -9.4541 eV per atom

Entry 2:
This record from OQMD describes CuW4C3 after structural relaxation. The functional is PBE.

abc: 3.1087 3.1087 22.8604
angles: 90.00 90.00 120.00
With the nearest neighbours (Å) after each atom.
Space group P6_3/mmc (No. 194)
Symmetry-distinct sites (fractional):
Cu1 0.3333 0.6667 0.2500 [2 per cell]  6 W 2.76
W1 0.0000 0.0000 0.1585 [4 per cell]  3 C 2.07
W2 0.3333 0.6667 0.0590 [4 per cell]  6 C 2.18-2.24
C1 0.0000 0.0000 0.0000 [2 per cell]  6 W 2.24
C2 0.3333 0.6667 0.6133 [4 per cell]  6 W 2.07-2.18

Computed properties:
**Spin magnetization**: 0.00 μB/cell
**Energy**: -10.1323 eV per atom

Entry 3:
This record from OQMD describes Y4Cu3W2C3 after structural relaxation. The functional is PBE.

abc: 10.1992 5.8890 14.0137
angles: 90.00 104.86 90.00
With the nearest neighbours (Å) after each atom.
Space group C2/c (No. 15)
Symmetry-distinct sites (fractional):
Y1 0.1230 0.0686 0.1113 [8 per cell]  3 C 2.51-2.55
Y2 0.2029 0.0925 0.3888 [8 per cell]  3 C 2.52-2.54
Cu1 0.0000 0.1783 0.7500 [4 per cell]  2 Cu 2.39
Cu2 0.1174 0.4705 0.2474 [8 per cell]  2 Cu 2.39-2.41
W1 0.0687 0.4065 0.9323 [8 per cell]  3 C 2.06-2.07
C1 0.0735 0.2799 0.5000 [8 per cell]  2 W 2.06-2.07
C2 0.2500 0.2500 0.0000 [4 per cell]  2 W 2.07

Computed properties:
**Spin magnetization**: 0.01 μB/cell
**Energy**: -7.7524 eV per atom

Entry 4:
This record from OQMD describes ZnCuW4C2 after structural relaxation. The functional is PBE.

abc: 3.0266 3.0266 13.3944
angles: 90.00 90.00 120.00
With the nearest neighbours (Å) after each atom.
Space group P-6m2 (No. 187)
Symmetry-distinct sites (fractional):
Zn1 0.0000 0.0000 0.0000 [1 per cell]  6 W 2.81, 6 Zn 3.03
Cu1 0.6667 0.3333 0.5000 [1 per cell]  6 W 2.75, 6 Cu 3.03
W1 0.0000 0.0000 0.3418 [2 per cell]  3 C 2.12
W2 0.6667 0.3333 0.1645 [2 per cell]  3 C 2.11
C1 0.3333 0.6667 0.2528 [2 per cell]  6 W 2.11-2.12

Computed properties:
**Spin magnetization**: 0.05 μB/cell
**Energy**: -9.1887 eV per atom

Entry 5:
This record from OQMD describes YCu2C4 after structural relaxation. The functional is PBE.

abc: 7.1612 14.6040 5.0575
angles: 90.00 134.87 90.00
With the nearest neighbours (Å) after each atom.
Space group C2/c (No. 15)
Symmetry-distinct sites (fractional):
Y1 0.0000 0.1246 0.2500 [4 per cell]  4 C 2.50
Cu1 0.0000 0.5000 0.0000 [4 per cell]  4 C 2.04-2.05
Cu2 0.2500 0.2500 0.0000 [4 per cell]  4 C 2.04
C1 0.1485 0.3746 0.0520 [8 per cell]  2 C 1.53
C2 0.1523 0.3751 0.7536 [8 per cell]  2 C 1.53

Computed properties:
**Spin magnetization**: 0.01 μB/cell
**Energy**: -6.4427 eV per atom

Entry 6:
This record from OQMD describes YCuC2 after structural relaxation. The functional is PBE.

abc: 3.5489 3.5489 9.0803
angles: 90.00 90.00 120.00
With the nearest neighbours (Å) after each atom.
Space group P6_3/mmc (No. 194)
Symmetry-distinct sites (fractional):
Y1 0.0000 0.0000 0.0000 [2 per cell]  6 C 2.58
Cu1 0.3333 0.6667 0.2500 [2 per cell]  6 C 2.17
C1 0.3333 0.6667 0.6725 [4 per cell]  1 C 1.41

Computed properties:
**Spin magnetization**: 0.00 μB/cell
**Energy**: -7.1185 eV per atom

Entry 7:
This record from OQMD describes YCu3C3 after structural relaxation. The functional is PBE.

abc: 3.4929 3.4929 16.0072
angles: 90.00 90.00 120.00
With the nearest neighbours (Å) after each atom.
Space group P6_3/mmc (No. 194)
Symmetry-distinct sites (fractional):
Y1 0.0000 0.0000 0.0000 [2 per cell]  6 C 2.53
Cu1 0.3333 0.6667 0.1337 [4 per cell]  1 C 1.86
Cu2 0.3333 0.6667 0.7500 [2 per cell]  3 C 2.02
C1 0.3333 0.6667 0.2500 [2 per cell]  5 Cu 1.86-2.02
C2 0.3333 0.6667 0.5955 [4 per cell]  3 Cu 2.11

Computed properties:
**Spin magnetization**: 0.00 μB/cell
**Energy**: -5.6691 eV per atom

Entry 8:
This record from OQMD describes Y2CuC after structural relaxation. The functional is PBE.

abc: 10.8161 6.2309 14.6296
angles: 90.00 104.43 90.00
With the nearest neighbours (Å) after each atom.
Space group C2/c (No. 15)
Symmetry-distinct sites (fractional):
Y1 0.0475 0.0824 0.3972 [8 per cell]  3 C 2.49-2.55
Y2 0.1140 0.4146 0.5911 [8 per cell]  3 C 2.44-2.50
Y3 0.2198 0.4175 0.9089 [8 per cell]  3 C 2.44-2.50
Cu1 0.0000 0.4265 0.7500 [4 per cell]  4 Y 2.88-2.89, 4 Cu 3.11-3.14
Cu2 0.2430 0.1588 0.7505 [8 per cell]  4 Y 2.88-2.89, 4 Cu 3.11-3.14
C1 0.0807 0.2419 0.0002 [8 per cell]  6 Y 2.44-2.50
C2 0.2500 0.2500 0.5000 [4 per cell]  6 Y 2.44-2.55

Computed properties:
**Spin magnetization**: 0.13 μB/cell
**Energy**: -6.6273 eV per atom

Entry 9:
This record from OQMD describes Y4CuC3 after structural relaxation. The functional is PBE.

abc: 3.6041 3.6041 26.1210
angles: 90.00 90.00 120.00
With the nearest neighbours (Å) after each atom.
Space group P6_3/mmc (No. 194)
Symmetry-distinct sites (fractional):
Y1 0.0000 0.0000 0.1643 [4 per cell]  3 C 2.40
Y2 0.3333 0.6667 0.0567 [4 per cell]  6 C 2.55-2.64
Cu1 0.3333 0.6667 0.2500 [2 per cell]  6 Y 3.06
C1 0.0000 0.0000 0.0000 [2 per cell]  6 Y 2.55
C2 0.3333 0.6667 0.6187 [4 per cell]  6 Y 2.40-2.64

Computed properties:
**Spin magnetization**: 0.07 μB/cell
**Energy**: -7.2882 eV per atom

Entry 10:
This record from OQMD describes Y2CuC after structural relaxation. The functional is PBE.

abc: 3.6561 3.6561 13.7258
angles: 90.00 90.00 120.00
With the nearest neighbours (Å) after each atom.
Space group P6_3/mmc (No. 194)
Symmetry-distinct sites (fractional):
Y1 0.3333 0.6667 0.0976 [4 per cell]  3 C 2.50
Cu1 0.3333 0.6667 0.7500 [2 per cell]  6 Y 2.97
C1 0.0000 0.0000 0.0000 [2 per cell]  6 Y 2.50

Computed properties:
**Spin magnetization**: 0.03 μB/cell
**Energy**: -6.6437 eV per atom

Entry 11:
This record from OQMD describes Y4Zr2Cu3C3 after structural relaxation. The functional is PBE.

abc: 10.4254 6.0220 14.8735
angles: 90.00 101.71 90.00
With the nearest neighbours (Å) after each atom.
Space group C2/c (No. 15)
Symmetry-distinct sites (fractional):
Y1 0.1107 0.0764 0.0931 [8 per cell]  3 C 2.44-2.52
Y2 0.2185 0.0872 0.4065 [8 per cell]  3 C 2.45-2.52
Zr1 0.0627 0.4136 0.9147 [8 per cell]  3 C 2.25-2.32
Cu1 0.0000 0.0379 0.2500 [4 per cell]  4 Y 2.81-2.92, 4 Cu 2.98-3.09
Cu2 0.2371 0.3452 0.2499 [8 per cell]  4 Y 2.84-2.92, 4 Cu 2.98-3.09
C1 0.0747 0.2761 0.5004 [8 per cell]  2 Zr 2.25, 4 Y 2.45-2.52
C2 0.2500 0.2500 0.0000 [4 per cell]  2 Zr 2.32, 4 Y 2.44-2.45

Computed properties:
**Spin magnetization**: 0.07 μB/cell
**Energy**: -6.9555 eV per atom

Entry 12:
This record from OQMD describes Zr4CuC3 after structural relaxation. The functional is PBE.

abc: 3.3569 3.3569 24.0219
angles: 90.00 90.00 120.00
With the nearest neighbours (Å) after each atom.
Space group P6_3/mmc (No. 194)
Symmetry-distinct sites (fractional):
Zr1 0.0000 0.0000 0.1652 [4 per cell]  3 C 2.27
Zr2 0.3333 0.6667 0.0548 [4 per cell]  6 C 2.34-2.43
Cu1 0.3333 0.6667 0.2500 [2 per cell]  6 Zr 2.81
C1 0.0000 0.0000 0.0000 [2 per cell]  6 Zr 2.34
C2 0.3333 0.6667 0.6157 [4 per cell]  6 Zr 2.27-2.43

Computed properties:
**Spin magnetization**: 0.03 μB/cell
**Energy**: -8.8179 eV per atom

Please write out number 11 again, unchanged.
This record from OQMD describes Y4Zr2Cu3C3 after structural relaxation. The functional is PBE.

abc: 10.4254 6.0220 14.8735
angles: 90.00 101.71 90.00
With the nearest neighbours (Å) after each atom.
Space group C2/c (No. 15)
Symmetry-distinct sites (fractional):
Y1 0.1107 0.0764 0.0931 [8 per cell]  3 C 2.44-2.52
Y2 0.2185 0.0872 0.4065 [8 per cell]  3 C 2.45-2.52
Zr1 0.0627 0.4136 0.9147 [8 per cell]  3 C 2.25-2.32
Cu1 0.0000 0.0379 0.2500 [4 per cell]  4 Y 2.81-2.92, 4 Cu 2.98-3.09
Cu2 0.2371 0.3452 0.2499 [8 per cell]  4 Y 2.84-2.92, 4 Cu 2.98-3.09
C1 0.0747 0.2761 0.5004 [8 per cell]  2 Zr 2.25, 4 Y 2.45-2.52
C2 0.2500 0.2500 0.0000 [4 per cell]  2 Zr 2.32, 4 Y 2.44-2.45

Computed properties:
**Spin magnetization**: 0.07 μB/cell
**Energy**: -6.9555 eV per atom

> Which formula does entry 6 have?

YCuC2